AlSbPt2: single point on PBEsol structure, meta-GGA SCAN.

Lattice parameters (Å, degrees): 3.2939 4.7829 4.3630 90.00 90.00 90.00
Closest atoms and distances in Å follow each position.
Fractional positions:
1 Al 0.0000 0.0000 0.0000  6 Pt 2.60-2.76
2 Sb 0.5000 0.5000 0.7519  6 Pt 2.62-2.80
3 Pt 0.0000 0.5000 0.2330  2 Al 2.60, 4 Sb 2.67-2.80
4 Pt 0.5000 0.0000 0.5065  2 Sb 2.62, 4 Al 2.71-2.76

**Theoretical density**: 13.0 g cm⁻³
**Polymorph energy (0 for the lowest one)**: 25.4 meV per atom
**Space group**: Pmm2 (25)
**E_form (uncorrected)**: -209 kJ/mol of formula units